First-principles (GGA-PBE) data for Tl2HF8 after structural relaxation, as listed in Alexandria.

Lattice parameters (Å, degrees): 10.227 6.856 4.311 90.00 90.25 90.00
Space group C2/m (No. 12)
One atom of each set of equivalent atoms:
Tl  0.195  0.000  0.001
H  0.000  0.500  0.000
F  0.000  0.000  0.265
F  0.119  0.325  0.998
F  0.246  0.000  0.501

Values from the calculation:
As for the crystal system: monoclinic. Its electronic total energy is -37.12 eV per formula unit.